1.
Below is HfMoW3 after structural relaxation, with properties calculated at the GGA-PBE level.

## Properties
Space group = Pm-3m
DOS(E_F) = 10.2 states/eV/f.u.
Offset from the most stable computed form = 972 meV/atom
E_form = 2.68 eV/atom

Structure (POSCAR):
```
HfMoW3
1.0
4.7185 0.0000 0.0000
0.0000 4.7185 0.0000
0.0000 0.0000 4.7185
Hf Mo W
1 1 3
direct
0.0000 0.0000 0.0000 Hf
0.5000 0.5000 0.5000 Mo
0.0000 0.0000 0.5000 W
0.0000 0.5000 0.0000 W
0.5000 0.0000 0.0000 W
```

2.
Below is Pm2Tm3Mg3 after structural relaxation, with properties calculated at the GGA-PBE level.

## Properties
Space group = R3m
DOS(E_F) = 9.2 states/eV/f.u.
E_form = -0.02 eV/atom

Structure (POSCAR):
```
Pm2Tm3Mg3
1.0
2.7178 1.5691 8.9366
-2.7178 1.5691 8.9366
0.0000 -3.1383 8.9366
Pm Tm Mg
2 3 3
direct
0.0000 0.0000 0.0000 Pm
0.4959 0.4959 0.4959 Pm
0.2434 0.2434 0.2434 Tm
0.6225 0.6225 0.6225 Tm
0.7500 0.7500 0.7500 Tm
0.1226 0.1226 0.1226 Mg
0.3696 0.3696 0.3696 Mg
0.8750 0.8750 0.8750 Mg
```

3.
Below is LiLaCe after structural relaxation, with properties calculated at the GGA-PBE level.

## Properties
Space group = P3m1
DOS(E_F) = 5.9 states/eV/f.u.
Offset from the most stable computed form = 122 meV/atom
E_form = 0.17 eV/atom

Structure (POSCAR):
```
LiLaCe
1.0
3.4597 0.0000 0.0000
-1.7298 2.9962 0.0000
0.0000 0.0000 8.5459
Li La Ce
1 1 1
direct
0.0000 0.0000 0.0000 Li
0.3333 0.6667 0.6640 La
0.6667 0.3333 0.3230 Ce
```

4.
Below is TbEu2Gd after structural relaxation, with properties calculated at the GGA-PBE level.

## Properties
Space group = Fm-3m
DOS(E_F) = 4.8 states/eV/f.u.
Offset from the most stable computed form = 0 meV/atom
E_form = 0.15 eV/atom

Structure (POSCAR):
```
TbEu2Gd
1.0
0.0000 4.1463 4.1463
4.1463 0.0000 4.1463
4.1463 4.1463 0.0000
Tb Eu Gd
1 2 1
direct
0.0000 0.0000 0.0000 Tb
0.2500 0.2500 0.2500 Eu
0.7500 0.7500 0.7500 Eu
0.5000 0.5000 0.5000 Gd
```

5.
Below is BeNiSb2I after structural relaxation, with properties calculated at the GGA-PBE level.

## Properties
Energy relative to the elements, uncorrected = 80 kJ per mole of atoms
Space group = P4/mmm
DOS(E_F) = 4.9 states/eV/f.u.
Offset from the most stable computed form = 0 meV/atom

Structure (POSCAR):
```
BeNiSb2I
1.0
4.9418 0.0000 0.0000
0.0000 4.9418 0.0000
0.0000 0.0000 5.3807
Be Ni Sb I
1 1 2 1
direct
0.0000 0.0000 0.0000 Be
0.5000 0.5000 0.5000 Ni
0.0000 0.5000 0.5000 Sb
0.5000 0.0000 0.5000 Sb
0.5000 0.5000 0.0000 I
```

6.
Below is Ac3SbTe3 after structural relaxation, with properties calculated at the GGA-PBE level.

## Properties
Energy relative to the elements, uncorrected = -137 kJ per mole of atoms
Space group = R-3

Structure (POSCAR):
```
Ac3SbTe3
1.0
4.9072 2.8332 6.7537
-4.9072 2.8332 6.7537
0.0000 -5.6663 6.7537
Ac Sb Te
6 2 6
direct
0.0351 0.4360 0.7958 Ac
0.2042 0.9649 0.5640 Ac
0.4360 0.7958 0.0351 Ac
0.5640 0.2042 0.9649 Ac
0.7958 0.0351 0.4360 Ac
0.9649 0.5640 0.2042 Ac
0.1619 0.1619 0.1619 Sb
0.8381 0.8381 0.8381 Sb
0.1409 0.6842 0.3978 Te
0.3158 0.6022 0.8591 Te
0.3978 0.1409 0.6842 Te
0.6022 0.8591 0.3158 Te
0.6842 0.3978 0.1409 Te
0.8591 0.3158 0.6022 Te
```

7.
Below is Cs2BaCd2O4 after structural relaxation, with properties calculated at the GGA-PBE level.

## Properties
Energy relative to the elements, uncorrected = -130 kJ per mole of atoms
Space group = C2/m

Structure (POSCAR):
```
Cs2BaCd2O4
1.0
7.6724 -1.9835 0.0000
7.6724 1.9835 0.0000
-2.6698 0.0000 6.9418
Cs Ba Cd O
2 1 2 4
direct
0.1247 0.1247 0.0335 Cs
0.8753 0.8753 0.9665 Cs
0.0000 0.0000 0.5000 Ba
0.3292 0.3292 0.5329 Cd
0.6708 0.6708 0.4671 Cd
0.2053 0.2053 0.6381 O
0.4736 0.4736 0.7241 O
0.5264 0.5264 0.2759 O
0.7947 0.7947 0.3619 O
```

8.
Below is HoSc2Zn2Ge2 after structural relaxation, with properties calculated at the GGA-PBE level.

## Properties
Space group = R-3m
DOS(E_F) = 6.1 states/eV/f.u.
E_form = -0.39 eV/atom

Structure (POSCAR):
```
HoSc2Zn2Ge2
1.0
2.1348 1.2326 8.7715
-2.1348 1.2326 8.7715
0.0000 -2.4651 8.7715
Ho Sc Zn Ge
1 2 2 2
direct
0.0000 0.0000 0.0000 Ho
0.1321 0.1321 0.1321 Sc
0.8679 0.8679 0.8679 Sc
0.4012 0.4012 0.4012 Zn
0.5988 0.5988 0.5988 Zn
0.2536 0.2536 0.2536 Ge
0.7464 0.7464 0.7464 Ge
```

What total magnetic moment values result from the calculations? In sequence: 0.0; 0.0; 0.7; 7.2; 0.0; 0.0; 0.0; 0.0 Bohr magnetons per cell.